No. 1
GGA-PBE Li5Pd7, relaxed; space group = C2/m, No. 12; energy relative to the elements = -336 meV per atom; M_tot = 0.0 μB/f.u.
1.0
-2.322 0.443 3.567
-0.079 -4.685 -2.037
6.741 -2.351 4.680
Pd Li
7 5
Cartesian
4.642 -3.351 3.438
5.102 -3.476 6.320
3.683 -6.060 3.150
0.656 -0.534 3.061
3.370 -1.175 2.340
-0.302 -3.243 2.773
-0.762 -3.117 -0.109
2.480 -4.037 2.116
0.000 0.000 0.000
3.133 -4.606 5.179
1.206 -1.987 1.032
1.860 -2.556 4.095

No. 2
GGA-PBE HfMg3, relaxed; space group = Pm-3m, No. 221; energy relative to the elements = 138 meV per atom; M_tot = 0.0 μB/f.u.
1.0
-1.791 2.171 3.423
-0.017 -3.747 2.367
4.054 0.944 1.522
Mg Hf
3 1
Cartesian
-0.904 -0.788 2.895
1.131 1.557 2.473
2.018 -1.402 1.945
0.000 0.000 0.000

No. 3
GGA-PBE Mg2Cr2Pt, relaxed; space group = P4/mbm, No. 127; offset from the most stable computed form = 0.0 meV per atom; energy relative to the elements = 194 meV per atom; M_tot = 0.0 μB/f.u.
1.0
6.287 0.000 0.000
0.000 6.287 0.000
0.000 0.000 4.281
Pt Mg Cr
2 4 4
Cartesian
0.000 0.000 0.000
3.143 3.143 0.000
4.324 5.106 2.140
1.962 1.181 2.140
5.106 1.962 2.140
1.181 4.324 2.140
5.637 3.793 0.000
0.650 2.494 0.000
2.494 5.637 0.000
3.793 0.650 0.000

No. 4
GGA-PBE Cu12Ag3As5, relaxed; space group = Ia-3d, No. 230; energy relative to the elements = 339 meV per atom; M_tot = 0.0 μB/f.u.
1.0
-3.998 10.539 5.093
-9.325 -5.474 -6.005
4.183 -7.538 8.869
Cu Ag As
48 12 20
Cartesian
0.004 -3.362 3.351
-4.123 -1.429 -1.081
-8.305 -5.227 -3.862
1.607 -4.169 6.737
-6.540 -0.533 2.830
-4.191 4.212 6.621
-2.861 0.342 3.450
-4.334 0.186 5.880
-5.018 -1.044 9.038
-11.670 3.353 -0.733
-2.179 4.754 4.869
-5.428 -6.096 5.201
-3.185 -8.322 2.854
-10.748 1.696 1.220
-5.722 3.076 4.510
-1.515 -5.666 6.333
-5.004 0.889 0.042
-4.949 -6.686 1.336
-0.638 -7.986 5.211
-4.136 -3.362 7.916
2.530 -5.826 8.690
-7.626 3.193 1.625
-1.753 4.412 9.866
-2.281 1.389 7.203
-6.279 -2.816 4.507
-0.810 1.550 4.773
-8.224 -0.773 6.556
-0.835 2.753 11.819
-0.917 -1.700 1.401
-7.604 0.411 -1.011
-7.387 -6.886 -1.908
-3.418 -5.549 3.448
-8.330 -4.023 3.185
-0.547 -0.736 6.447
-8.503 5.513 2.747
-5.956 5.848 5.103
-9.145 0.888 4.606
-3.943 6.394 3.354
-4.807 -2.660 2.078
-1.536 -2.885 8.969
-2.417 -0.565 10.087
-6.961 -7.228 3.088
-3.712 3.622 2.757
-6.724 -1.909 -2.130
-8.594 -1.738 1.511
-2.601 -1.941 5.128
-5.198 -8.868 4.603
-6.859 -3.863 0.754
-3.618 6.653 5.923
-0.597 -0.876 3.849
-5.522 -9.126 2.034
-2.859 -1.120 7.583
-3.168 -7.383 5.281
-8.544 -1.597 4.109
-6.282 -1.354 0.374
-5.879 -4.865 2.950
0.829 -6.647 6.896
-5.972 4.909 2.676
-3.261 2.391 5.008
-9.969 4.173 1.061
-2.951 -2.620 0.602
-0.504 0.624 10.830
2.091 -3.769 4.435
-1.882 -4.130 4.565
-6.661 2.532 -0.456
-5.833 -4.115 6.440
-4.570 -1.237 3.979
-8.636 -3.098 -2.872
0.000 0.000 0.000
0.092 1.500 6.981
-5.925 -5.615 -0.541
-4.663 -2.737 -3.002
-7.258 1.656 3.393
-3.215 3.142 8.498
-1.999 5.269 2.546
-3.308 1.641 1.517
-2.571 -6.506 1.432
-6.189 0.146 7.355
-9.613 -0.088 0.146
0.472 -2.386 7.811

No. 5
GGA-PBE InSI2O, relaxed; space group = P4/mmm, No. 123; offset from the most stable computed form = 0.0 meV per atom; uncorrected formation energy = -0.005 eV/atom; M_tot = 0.0 μB/f.u.
1.0
-1.455 -5.574 -1.746
2.940 0.856 -5.182
3.071 -1.281 1.531
I O In S
2 1 1 1
Cartesian
-0.727 -2.787 -0.873
1.470 0.428 -2.591
1.536 -0.641 0.765
2.278 -2.999 -2.699
0.000 0.000 0.000

No. 6
GGA-PBE CsPm2US5, relaxed; space group = Immm, No. 71; uncorrected formation energy = -1.668 eV/atom; M_tot = 2.5 μB/f.u.
1.0
5.073 0.000 0.000
0.000 7.330 0.000
-2.536 -3.665 6.896
S U Cs Pm
5 1 1 2
Cartesian
0.000 -1.964 4.779
0.000 0.000 0.000
0.000 1.964 4.779
2.536 5.629 2.117
2.536 1.701 2.117
2.536 0.000 0.000
0.000 3.665 0.000
2.536 3.665 4.063
0.000 0.000 2.833

No. 7
GGA-PBE TiHg2Cl8, relaxed; space group = C2/m, No. 12; offset from the most stable computed form = 0.0 meV per atom; uncorrected formation energy = -0.962 eV/atom; M_tot = 0.0 μB/f.u.
1.0
-5.532 -3.187 -2.446
5.937 -3.958 1.283
-4.101 0.812 8.216
Ti Cl Hg
1 8 2
Cartesian
0.000 0.000 0.000
-2.872 -4.189 6.922
-3.736 -3.821 -1.157
-0.876 -6.555 0.966
-3.736 -2.966 2.759
0.040 -2.512 8.210
-2.820 0.223 6.087
0.040 -3.366 4.294
-0.824 -2.143 0.131
-3.178 -4.863 3.967
-0.518 -1.470 3.086

No. 8
GGA-PBE Be3Si2, relaxed; space group = Fdd2, No. 43; offset from the most stable computed form = 0.0 meV per atom; uncorrected formation energy = 0.335 eV/atom; M_tot = 0.0 μB/f.u.
1.0
-7.569 6.661 5.708
-8.159 7.023 1.356
-1.180 -1.897 3.798
Be Si
6 4
Cartesian
-7.712 6.537 5.663
-11.451 7.248 7.701
-7.236 4.254 5.157
-9.986 7.260 5.606
-14.225 10.159 8.493
-4.370 2.823 2.671
-13.140 10.478 6.425
-4.195 0.939 4.303
-9.199 6.433 7.669
-7.251 5.751 3.336

No. 9
GGA-PBE Ac4Tl2Cu, relaxed; space group = P2_1/m, No. 11; offset from the most stable computed form = 0.0 meV per atom; energy relative to the elements = -178 meV per atom; M_tot = 0.0 μB/f.u.
1.0
-5.182 4.260 -3.455
-5.304 -4.683 2.181
-2.960 3.119 8.285
Tl Ac Cu
4 8 2
Cartesian
-7.065 -1.256 4.928
-7.174 0.915 -0.473
-6.273 1.780 7.483
-6.381 3.952 2.083
-8.777 1.360 2.482
-9.437 0.656 6.633
-8.067 4.278 5.014
-5.380 -1.583 1.997
-11.972 2.740 4.943
-4.010 2.040 0.378
-1.474 -0.044 2.068
-4.669 1.335 4.529
-4.412 3.639 6.984
-9.034 -0.944 0.026

No. 10
GGA-PBE CaVSeBr2, relaxed; space group = P4/mmm, No. 123; offset from the most stable computed form = 0.0 meV per atom; uncorrected formation energy = -0.895 eV/atom; M_tot = 3.0 μB/f.u.
1.0
-3.239 0.363 3.856
-3.857 -0.763 -3.168
0.369 -5.174 0.797
Se Ca Br V
1 1 2 1
Cartesian
0.184 -2.587 0.398
-3.364 -2.787 0.742
-1.620 0.181 1.928
-1.928 -0.381 -1.584
0.000 0.000 0.000

No. 11
GGA-PBE Tb2Dy3Ho6Mg, relaxed; space group = C2/m, No. 12; energy relative to the elements = 27 meV per atom; M_tot = 0.0 μB/f.u.
1.0
-3.036 -4.997 1.697
6.054 -0.177 -0.618
0.199 4.731 10.633
Ho Mg Dy Tb
6 1 3 2
Cartesian
3.928 0.470 8.411
0.904 2.256 8.246
2.313 0.690 2.530
0.905 -1.133 9.181
-0.710 -0.913 3.300
2.314 -2.699 3.465
0.000 0.000 0.000
1.609 -0.221 5.856
4.646 1.389 5.082
-1.428 -1.832 6.629
3.022 -1.784 0.154
-0.004 -3.389 0.925

No. 12
GGA-PBE BeP2Rh, relaxed; space group = P4mm, No. 99; energy relative to the elements = -50 meV per atom; M_tot = 0.0 μB/f.u.
1.0
-1.577 1.101 2.120
-2.212 -1.630 -0.801
2.156 -4.984 4.192
P Rh Be
2 1 1
Cartesian
-1.202 -1.867 2.007
1.958 -4.528 3.808
1.146 -2.650 2.229
-0.303 -3.945 3.755